No. 1
# TlNiCl (PBE, relaxed)
# Volume (Å³/atom): 21.9
# Raw formation energy (eV per atom): 0.148
# Mass density (g/cm3): 7.530
# Crystal system: cubic
# Size of the total moment (μB per atom): 0.000
data_TlNiCl
_symmetry_space_group_name_H-M 'P 1'
_symmetry_Int_Tables_number 1
_cell_length_a 4.532
_cell_length_b 4.532
_cell_length_c 4.532
_cell_angle_alpha 60.00
_cell_angle_beta 60.00
_cell_angle_gamma 60.00
loop_
_symmetry_equiv_pos_as_xyz
'x,y,z'
loop_
_atom_site_label
_atom_site_type_symbol
_atom_site_fract_x
_atom_site_fract_y
_atom_site_fract_z
Cl1 Cl 0.500 0.500 0.500
Ni1 Ni 0.750 0.750 0.750
Tl1 Tl 0.000 0.000 0.000



No. 2
# Cs2Cd (PBE, relaxed)
# Volume (Å³/atom): 70.3
# E_form (eV/atom): 0.0117
# Mass density (g/cm3): 2.979
# Crystal system: tetragonal
# Size of the total moment (μB per atom): 0.000
data_Cs2Cd
_symmetry_space_group_name_H-M 'P 1'
_symmetry_Int_Tables_number 1
_cell_length_a 4.908
_cell_length_b 4.908
_cell_length_c 9.421
_cell_angle_alpha 105.14
_cell_angle_beta 105.14
_cell_angle_gamma 89.98
loop_
_symmetry_equiv_pos_as_xyz
'x,y,z'
loop_
_atom_site_label
_atom_site_type_symbol
_atom_site_fract_x
_atom_site_fract_y
_atom_site_fract_z
Cs1 Cs 0.869 0.869 0.738
Cs2 Cs 0.131 0.131 0.262
Cd1 Cd 0.500 0.500 0.000



No. 3
# MgTcCl (PBE, relaxed)
# Volume (Å³/atom): 17.7
# Raw formation energy (eV per atom): 0.227
# Mass density (g/cm3): 4.935
# Crystal system: tetragonal
# Size of the total moment (μB per atom): 0.635
data_MgTcCl
_symmetry_space_group_name_H-M 'P 1'
_symmetry_Int_Tables_number 1
_cell_length_a 6.208
_cell_length_b 6.208
_cell_length_c 6.208
_cell_angle_alpha 151.87
_cell_angle_beta 151.87
_cell_angle_gamma 40.21
loop_
_symmetry_equiv_pos_as_xyz
'x,y,z'
loop_
_atom_site_label
_atom_site_type_symbol
_atom_site_fract_x
_atom_site_fract_y
_atom_site_fract_z
Mg1 Mg 0.326 0.326 0.000
Tc1 Tc 0.666 0.666 0.000
Cl1 Cl 0.008 0.008 0.000



No. 4
# MgMo2Se (PBE, relaxed)
# Volume (Å³/atom): 16.7
# Raw formation energy (eV per atom): 0.289
# Mass density (g/cm3): 7.353
# Crystal system: monoclinic
# Size of the total moment (μB per atom): 0.000
data_MgMo2Se
_symmetry_space_group_name_H-M 'P 1'
_symmetry_Int_Tables_number 1
_cell_length_a 3.140
_cell_length_b 4.597
_cell_length_c 5.480
_cell_angle_alpha 57.44
_cell_angle_beta 90.00
_cell_angle_gamma 90.00
loop_
_symmetry_equiv_pos_as_xyz
'x,y,z'
loop_
_atom_site_label
_atom_site_type_symbol
_atom_site_fract_x
_atom_site_fract_y
_atom_site_fract_z
Se1 Se 0.500 0.500 0.500
Mg1 Mg 0.000 0.000 0.500
Mo1 Mo 0.000 0.000 0.000
Mo2 Mo 0.500 0.500 0.000



No. 5
# KRbTaW2 (PBE, relaxed)
# Volume (Å³/atom): 31.2
# E_form (eV/atom): 1.9082
# Mass density (g/cm3): 7.166
# Crystal system: tetragonal
# Size of the total moment (μB per atom): 0.071
data_KRbTaW2
_symmetry_space_group_name_H-M 'P 1'
_symmetry_Int_Tables_number 1
_cell_length_a 4.887
_cell_length_b 6.532
_cell_length_c 4.887
_cell_angle_alpha 90.00
_cell_angle_beta 90.00
_cell_angle_gamma 90.00
loop_
_symmetry_equiv_pos_as_xyz
'x,y,z'
loop_
_atom_site_label
_atom_site_type_symbol
_atom_site_fract_x
_atom_site_fract_y
_atom_site_fract_z
Ta1 Ta 0.000 0.000 0.000
Rb1 Rb 0.500 0.500 0.500
W1 W 0.500 0.000 0.000
W2 W 0.000 0.000 0.500
K1 K 0.000 0.500 0.000



No. 6
# TcPt2Br (PBE, relaxed)
# Volume (Å³/atom): 17.1
# Raw formation energy (eV per atom): 0.561
# Mass density (g/cm3): 13.764
# Crystal system: orthorhombic
# Size of the total moment (μB per atom): 0.356
data_TcPt2Br
_symmetry_space_group_name_H-M 'P 1'
_symmetry_Int_Tables_number 1
_cell_length_a 5.786
_cell_length_b 5.786
_cell_length_c 5.786
_cell_angle_alpha 151.38
_cell_angle_beta 131.97
_cell_angle_gamma 56.87
loop_
_symmetry_equiv_pos_as_xyz
'x,y,z'
loop_
_atom_site_label
_atom_site_type_symbol
_atom_site_fract_x
_atom_site_fract_y
_atom_site_fract_z
Pt1 Pt 0.980 0.980 0.000
Br1 Br 0.250 0.750 0.500
Tc1 Tc 0.750 0.250 0.500
Pt2 Pt 0.520 0.520 0.000



No. 7
# YFeSb2 (PBE, relaxed)
# Volume (Å³/atom): 24.5
# Raw formation energy (eV per atom): -0.117
# Mass density (g/cm3): 6.578
# Crystal system: tetragonal
# Size of the total moment (μB per atom): 0.387
data_YFeSb2
_symmetry_space_group_name_H-M 'P 1'
_symmetry_Int_Tables_number 1
_cell_length_a 3.339
_cell_length_b 3.339
_cell_length_c 8.792
_cell_angle_alpha 90.00
_cell_angle_beta 90.00
_cell_angle_gamma 90.00
loop_
_symmetry_equiv_pos_as_xyz
'x,y,z'
loop_
_atom_site_label
_atom_site_type_symbol
_atom_site_fract_x
_atom_site_fract_y
_atom_site_fract_z
Sb1 Sb 0.500 0.500 0.282
Sb2 Sb 0.000 0.000 0.910
Y1 Y 0.000 0.000 0.545
Fe1 Fe 0.500 0.500 0.763



No. 8
# K2PtPb (PBE, relaxed)
# Volume (Å³/atom): 46.5
# E_form (eV/atom): -0.0859
# Mass density (g/cm3): 4.288
# Crystal system: tetragonal
# Size of the total moment (μB per atom): 0.000
data_K2PtPb
_symmetry_space_group_name_H-M 'P 1'
_symmetry_Int_Tables_number 1
_cell_length_a 11.950
_cell_length_b 11.950
_cell_length_c 8.843
_cell_angle_alpha 47.49
_cell_angle_beta 47.49
_cell_angle_gamma 90.00
loop_
_symmetry_equiv_pos_as_xyz
'x,y,z'
loop_
_atom_site_label
_atom_site_type_symbol
_atom_site_fract_x
_atom_site_fract_y
_atom_site_fract_z
Pb1 Pb 0.000 0.000 0.000
K1 K 0.460 0.125 0.250
K2 K 0.375 0.540 0.750
K3 K 0.875 0.710 0.750
Pb2 Pb 0.750 0.250 0.500
K4 K 0.290 0.625 0.250
Pt1 Pt 0.500 0.500 0.000
Pt2 Pt 0.250 0.750 0.500



No. 9
# Ac12TbCo7 (PBE, relaxed)
# Volume (Å³/atom): 32.5
# E_form (eV/atom): -0.0177
# Mass density (g/cm3): 8.419
# Crystal system: trigonal
# Size of the total moment (μB per atom): 0.000
data_Ac12TbCo7
_symmetry_space_group_name_H-M 'P 1'
_symmetry_Int_Tables_number 1
_cell_length_a 9.245
_cell_length_b 9.245
_cell_length_c 9.245
_cell_angle_alpha 107.44
_cell_angle_beta 107.44
_cell_angle_gamma 107.44
loop_
_symmetry_equiv_pos_as_xyz
'x,y,z'
loop_
_atom_site_label
_atom_site_type_symbol
_atom_site_fract_x
_atom_site_fract_y
_atom_site_fract_z
Ac1 Ac 0.924 0.315 0.781
Ac2 Ac 0.554 0.845 0.628
Co1 Co 0.117 0.021 0.345
Co2 Co 0.345 0.117 0.021
Ac3 Ac 0.219 0.076 0.685
Tb1 Tb 0.000 0.000 0.000
Co3 Co 0.979 0.655 0.883
Ac4 Ac 0.315 0.781 0.924
Ac5 Ac 0.845 0.628 0.554
Co4 Co 0.655 0.883 0.979
Ac6 Ac 0.155 0.372 0.446
Ac7 Ac 0.076 0.685 0.219
Co5 Co 0.500 0.500 0.500
Ac8 Ac 0.372 0.446 0.155
Ac9 Ac 0.781 0.924 0.315
Ac10 Ac 0.628 0.554 0.845
Ac11 Ac 0.446 0.155 0.372
Ac12 Ac 0.685 0.219 0.076
Co6 Co 0.883 0.979 0.655
Co7 Co 0.021 0.345 0.117



No. 10
# AcHo4Se8 (PBE, relaxed)
# Volume (Å³/atom): 32.4
# Raw formation energy (eV per atom): -1.765
# Mass density (g/cm3): 5.995
# Crystal system: trigonal
# Size of the total moment (μB per atom): 0.000
data_AcHo4Se8
_symmetry_space_group_name_H-M 'P 1'
_symmetry_Int_Tables_number 1
_cell_length_a 8.133
_cell_length_b 8.133
_cell_length_c 8.715
_cell_angle_alpha 62.18
_cell_angle_beta 62.18
_cell_angle_gamma 60.00
loop_
_symmetry_equiv_pos_as_xyz
'x,y,z'
loop_
_atom_site_label
_atom_site_type_symbol
_atom_site_fract_x
_atom_site_fract_y
_atom_site_fract_z
Ho1 Ho 0.000 0.000 0.000
Se1 Se 0.240 0.743 0.776
Se2 Se 0.240 0.240 0.776
Se3 Se 0.760 0.257 0.224
Ho2 Ho 0.500 0.500 0.000
Se4 Se 0.739 0.739 0.784
Se5 Se 0.261 0.261 0.216
Se6 Se 0.743 0.240 0.776
Se7 Se 0.257 0.760 0.224
Ho3 Ho 0.000 0.500 0.000
Se8 Se 0.760 0.760 0.224
Ac1 Ac 0.500 0.500 0.500
Ho4 Ho 0.500 0.000 0.000



No. 11
# FeRuSe2 (PBE, relaxed)
# Volume (Å³/atom): 20.1
# Raw formation energy (eV per atom): 0.266
# Mass density (g/cm3): 6.499
# Crystal system: trigonal
# Size of the total moment (μB per atom): 0.893
data_FeRuSe2
_symmetry_space_group_name_H-M 'P 1'
_symmetry_Int_Tables_number 1
_cell_length_a 7.858
_cell_length_b 7.858
_cell_length_c 7.858
_cell_angle_alpha 25.72
_cell_angle_beta 25.72
_cell_angle_gamma 25.72
loop_
_symmetry_equiv_pos_as_xyz
'x,y,z'
loop_
_atom_site_label
_atom_site_type_symbol
_atom_site_fract_x
_atom_site_fract_y
_atom_site_fract_z
Fe1 Fe 0.000 0.000 0.000
Ru1 Ru 0.500 0.500 0.500
Se1 Se 0.102 0.102 0.102
Se2 Se 0.898 0.898 0.898



No. 12
# NdSmCd14 (PBE, relaxed)
# Volume (Å³/atom): 23.7
# E_form (eV/atom): -0.1512
# Mass density (g/cm3): 8.178
# Crystal system: tetragonal
# Size of the total moment (μB per atom): 0.000
data_NdSmCd14
_symmetry_space_group_name_H-M 'P 1'
_symmetry_Int_Tables_number 1
_cell_length_a 6.698
_cell_length_b 6.698
_cell_length_c 8.455
_cell_angle_alpha 90.00
_cell_angle_beta 90.00
_cell_angle_gamma 89.99
loop_
_symmetry_equiv_pos_as_xyz
'x,y,z'
loop_
_atom_site_label
_atom_site_type_symbol
_atom_site_fract_x
_atom_site_fract_y
_atom_site_fract_z
Cd1 Cd 0.375 0.375 0.000
Cd2 Cd 0.626 0.626 0.238
Cd3 Cd 0.375 0.875 0.000
Cd4 Cd 0.124 0.626 0.238
Cd5 Cd 0.124 0.124 0.238
Cd6 Cd 0.875 0.875 0.000
Cd7 Cd 0.124 0.626 0.762
Cd8 Cd 0.626 0.124 0.238
Cd9 Cd 0.375 0.875 0.500
Cd10 Cd 0.626 0.124 0.762
Nd1 Nd 0.375 0.375 0.500
Cd11 Cd 0.875 0.375 0.000
Cd12 Cd 0.626 0.626 0.762
Sm1 Sm 0.875 0.875 0.500
Cd13 Cd 0.875 0.375 0.500
Cd14 Cd 0.124 0.124 0.762



> size of the total moment of number 4 (MgMo2Se)?

0.000 μB per atom



> The highest size of the total moment belongs to which entry?

FeRuSe2



> Which value of mass density does entry 12 give?

8.178 g/cm3